DFT (PBE-GGA) results for a geometry-optimized Si2HgPb2 structure.

```
data_Si2HgPb2
_chemical_formula_sum 'Si4 Hg2 Pb4'
_cell_length_a 3.519
_cell_length_b 3.519
_cell_length_c 19.895
_cell_angle_alpha 90.00
_cell_angle_beta 90.00
_cell_angle_gamma 90.00
_symmetry_space_group_name_H-M 'I 4/m m m'
_symmetry_Int_Tables_number 139
_symmetry_space_group_name_Hall '-I 4 2'
loop_
_atom_site_label
_atom_site_fract_x
_atom_site_fract_y
_atom_site_fract_z
Si1 0.000 0.500 0.250
Hg1 0.000 0.000 0.000
Pb1 0.000 0.000 0.382
```

For the energy relative to the lowest polymorph listed for this composition, the calculation gives 0 meV per atom.